Record 1
Computed, not measured: a geometry-optimized Dy2ZrIn structure at the GGA-PBE level of DFT.

a = 4.7104 Å, b = 4.6914 Å, c = 4.6914 Å
α = 90.00°, β = 90.00°, γ = 90.00°
Fractional coordinates of all 4 atoms:
In: 0.5000 0.0000 0.0000
Zr: 0.5000 0.5000 0.5000
Dy: 0.0000 0.0000 0.5000
Dy: 0.0000 0.5000 0.0000

## Properties
Its offset from the most stable computed form is 0 meV per atom. As for the crystal system: tetragonal.

***

Record 2
Computed, not measured: a geometry-optimized DyZrIn2 structure at the GGA-PBE level of DFT.

a = 4.3579 Å, b = 4.7095 Å, c = 4.7095 Å
α = 90.00°, β = 90.00°, γ = 90.00°
Site moments in Bohr magnetons follow the coordinates.
Fractional coordinates of all 4 atoms:
In: 0.0000 0.0000 0.5000  0.00
In: 0.0000 0.5000 0.0000  0.00
Zr: 0.5000 0.0000 0.0000  0.07
Dy: 0.5000 0.5000 0.5000  0.04

## Properties
As for the crystal system: tetragonal. The final energy comes out at -4.977 eV/atom.

***

Record 3
Computed, not measured: a geometry-optimized Dy3ZrIn4 structure at the GGA-PBE level of DFT.

a = 3.7870 Å, b = 3.7870 Å, c = 14.2218 Å
α = 90.00°, β = 90.00°, γ = 90.00°
Site moments in Bohr magnetons follow the coordinates.
Fractional coordinates of all 8 atoms:
In: 0.0000 0.0000 0.8885  0.01
In: 0.0000 0.0000 0.1115  0.01
In: 0.0000 0.0000 0.3696  0.00
In: 0.0000 0.0000 0.6304  0.00
Zr: 0.5000 0.5000 0.0000  0.33
Dy: 0.5000 0.5000 0.2394  0.03
Dy: 0.5000 0.5000 0.5000  -0.01
Dy: 0.5000 0.5000 0.7606  0.03

## Properties
As for the crystal system: tetragonal. The final energy comes out at -4.548 eV/atom.

***

Record 4
Computed, not measured: a geometry-optimized DyZrIn3 structure at the GGA-PBE level of DFT.

a = 4.3313 Å, b = 4.3313 Å, c = 7.7601 Å
α = 106.21°, β = 106.21°, γ = 90.00°
Fractional coordinates of all 5 atoms:
Dy: 0.9915 0.9915 0.9830
Zr: 0.6267 0.6267 0.2533
In: 0.2724 0.7724 0.5448
In: 0.7724 0.2724 0.5448
In: 0.4273 0.4273 0.8545

## Properties
As for the crystal system: tetragonal. The final energy comes out at -4.323 eV/atom.

***

Record 5
Computed, not measured: a geometry-optimized Dy2Zr2In7 structure at the GGA-PBE level of DFT.

a = 7.5176 Å, b = 5.1834 Å, c = 7.5176 Å
α = 78.12°, β = 92.57°, γ = 101.88°
Fractional coordinates of all 11 atoms:
Dy: 0.7916 0.5000 0.7916
Dy: 0.2084 0.5000 0.2084
Zr: 0.7424 0.3213 0.2576
Zr: 0.2576 0.6787 0.7424
In: 0.0231 0.2019 0.6006
In: 0.6006 0.7981 0.0231
In: 0.9769 0.7981 0.3994
In: 0.3994 0.2019 0.9769
In: 0.0000 0.0000 0.0000
In: 0.5659 0.7720 0.4341
In: 0.4341 0.2280 0.5659

## Properties
As for the crystal system: monoclinic. The final energy comes out at -4.243 eV/atom.

***

Record 6
Computed, not measured: a geometry-optimized Dy2ZrIn structure at the GGA-PBE level of DFT.

a = 5.3373 Å, b = 5.3373 Å, c = 5.3373 Å
α = 60.00°, β = 60.00°, γ = 60.00°
Site moments in Bohr magnetons follow the coordinates.
Fractional coordinates of all 4 atoms:
In: 0.5000 0.5000 0.5000  -0.01
Zr: 0.0000 0.0000 0.0000  1.11
Dy: 0.2500 0.2500 0.2500  0.40
Dy: 0.7500 0.7500 0.7500  0.40

## Properties
Its offset from the most stable computed form is 124 meV per atom. As for the crystal system: cubic.

***

Record 7
Computed, not measured: a geometry-optimized DyZrIn2 structure at the GGA-PBE level of DFT.

a = 3.2543 Å, b = 6.6387 Å, c = 8.9078 Å
α = 90.00°, β = 90.00°, γ = 90.00°
Site moments in Bohr magnetons follow the coordinates.
Fractional coordinates of all 8 atoms:
Dy: 0.0000 0.2500 0.4995  0.27
Dy: 0.0000 0.7500 0.5005  0.27
Zr: 0.0000 0.2500 0.0003  0.00
Zr: 0.0000 0.7500 0.9997  0.00
In: 0.5000 0.9995 0.2391  0.00
In: 0.5000 0.0005 0.7609  0.00
In: 0.5000 0.4995 0.7609  0.00
In: 0.5000 0.5005 0.2391  0.00

## Properties
As for the crystal system: orthorhombic. The final energy comes out at -5.015 eV/atom.

***

Record 8
Computed, not measured: a geometry-optimized DyZrIn2 structure at the GGA-PBE level of DFT.

a = 3.8121 Å, b = 3.8121 Å, c = 6.7051 Å
α = 90.00°, β = 90.00°, γ = 90.00°
Fractional coordinates of all 4 atoms:
In: 0.0000 0.0000 0.7668
In: 0.0000 0.0000 0.2332
Zr: 0.5000 0.5000 0.0000
Dy: 0.5000 0.5000 0.5000

## Properties
As for the crystal system: tetragonal. The final energy comes out at -4.959 eV/atom.

***

Record 9
Computed, not measured: a geometry-optimized Dy2ZrIn structure at the GGA-PBE level of DFT.

a = 3.4277 Å, b = 3.4277 Å, c = 9.1621 Å
α = 90.00°, β = 90.00°, γ = 90.00°
Fractional coordinates of all 4 atoms:
In: 0.5000 0.5000 0.0000
Zr: 0.5000 0.5000 0.5000
Dy: 0.0000 0.0000 0.7540
Dy: 0.0000 0.0000 0.2460

## Properties
Its offset from the most stable computed form is 11 meV per atom. As for the crystal system: tetragonal.

***

Record 10
Computed, not measured: a geometry-optimized Dy5ZrIn6 structure at the GGA-PBE level of DFT.

a = 5.5304 Å, b = 6.8794 Å, c = 8.8169 Å
α = 67.04°, β = 84.57°, γ = 90.00°
Fractional coordinates of all 12 atoms:
In: 0.8246 0.5934 0.3235
In: 0.8246 0.0831 0.3235
In: 0.5000 0.7590 0.0000
In: 0.5000 0.2410 0.0000
In: 0.1754 0.9169 0.6765
In: 0.1754 0.4066 0.6765
Zr: 0.0000 0.0000 0.0000
Dy: 0.6800 0.1676 0.6648
Dy: 0.3246 0.3322 0.3356
Dy: 0.0000 0.5000 0.0000
Dy: 0.6754 0.6678 0.6644
Dy: 0.3200 0.8324 0.3352

## Properties
As for the crystal system: monoclinic. The final energy comes out at -4.417 eV/atom.

***

Record 11
Computed, not measured: a geometry-optimized DyZrIn2 structure at the GGA-PBE level of DFT.

a = 3.4192 Å, b = 3.4192 Å, c = 10.2692 Å
α = 80.42°, β = 80.42°, γ = 60.00°
Fractional coordinates of all 4 atoms:
In: 0.7470 0.7470 0.7589
In: 0.2530 0.2530 0.2411
Zr: 0.0000 0.0000 0.0000
Dy: 0.5000 0.5000 0.5000

## Properties
As for the crystal system: trigonal. The final energy comes out at -4.840 eV/atom.

***

Record 12
Computed, not measured: a geometry-optimized Dy6ZrIn structure at the GGA-PBE level of DFT.

a = 4.8436 Å, b = 4.8436 Å, c = 9.8166 Å
α = 90.00°, β = 90.00°, γ = 90.00°
Fractional coordinates of all 8 atoms:
Dy: 0.5000 0.5000 0.0000
Dy: 0.5000 0.5000 0.5000
Dy: 0.5000 0.0000 0.2531
Dy: 0.5000 0.0000 0.7469
Dy: 0.0000 0.5000 0.2531
Dy: 0.0000 0.5000 0.7469
Zr: 0.0000 0.0000 0.5000
In: 0.0000 0.0000 0.0000

## Properties
As for the crystal system: tetragonal. The final energy comes out at -4.959 eV/atom.

***

Record 13
Computed, not measured: a geometry-optimized DyZr5In3 structure at the GGA-PBE level of DFT.

a = 6.1540 Å, b = 8.8656 Å, c = 8.8654 Å
α = 120.00°, β = 90.00°, γ = 90.00°
Fractional coordinates of all 18 atoms:
Dy: 0.0000 0.0000 0.0000
Dy: 0.5000 0.0000 0.0000
Zr: 0.0000 0.6667 0.3333
Zr: 0.5000 0.3333 0.6667
Zr: 0.0000 0.3333 0.6667
Zr: 0.5000 0.6667 0.3333
Zr: 0.7500 0.6577 0.6578
Zr: 0.7500 0.0000 0.3422
Zr: 0.7500 0.3422 0.0000
Zr: 0.2500 0.3423 0.3422
Zr: 0.2500 0.0000 0.6578
Zr: 0.2500 0.6578 0.0000
In: 0.7500 0.3315 0.3316
In: 0.7500 0.0000 0.6684
In: 0.7500 0.6684 0.0000
In: 0.2500 0.6685 0.6684
In: 0.2500 0.0000 0.3316
In: 0.2500 0.3316 0.0000

## Properties
As for the crystal system: hexagonal. The final energy comes out at -6.404 eV/atom.

***

Record 14
Computed, not measured: a geometry-optimized Dy4Ir3 structure at the GGA-PBE level of DFT.

a = 4.8114 Å, b = 4.8114 Å, c = 8.3725 Å
α = 73.30°, β = 73.30°, γ = 60.00°
Fractional coordinates of all 7 atoms:
Dy: 0.6240 0.6240 0.1280
Dy: 0.8746 0.8746 0.3763
Dy: 0.1254 0.1254 0.6237
Dy: 0.3760 0.3760 0.8720
Ir: 0.2498 0.2498 0.2507
Ir: 0.7502 0.7502 0.7493
Ir: 0.0000 0.0000 0.0000

## Properties
As for the crystal system: trigonal. The final energy comes out at -7.244 eV/atom.

***

Record 15
Computed, not measured: a geometry-optimized DyIr3 structure at the GGA-PBE level of DFT.

a = 5.3070 Å, b = 5.3070 Å, c = 17.5237 Å
α = 90.00°, β = 90.00°, γ = 120.00°
Fractional coordinates of all 24 atoms:
Dy: 0.6667 0.3333 0.5410
Dy: 0.3333 0.6667 0.0410
Dy: 0.3333 0.6667 0.4590
Dy: 0.6667 0.3333 0.9590
Dy: 0.6667 0.3333 0.7500
Dy: 0.3333 0.6667 0.2500
Ir: 0.3342 0.1671 0.1264
Ir: 0.8329 0.1671 0.1264
Ir: 0.8329 0.6658 0.1264
Ir: 0.6658 0.8329 0.6264
Ir: 0.1671 0.8329 0.6264
Ir: 0.1671 0.3342 0.6264
Ir: 0.1671 0.8329 0.8736
Ir: 0.6658 0.8329 0.8736
Ir: 0.1671 0.3342 0.8736
Ir: 0.8329 0.1671 0.3736
Ir: 0.3342 0.1671 0.3736
Ir: 0.8329 0.6658 0.3736
Ir: 0.6667 0.3333 0.2500
Ir: 0.3333 0.6667 0.7500
Ir: 0.0000 0.0000 0.2500
Ir: 0.0000 0.0000 0.7500
Ir: 0.0000 0.0000 0.0000
Ir: 0.0000 0.0000 0.5000

## Properties
As for the crystal system: hexagonal. The final energy comes out at -8.397 eV/atom.

***

Record 16
Computed, not measured: a geometry-optimized Dy2Ir3 structure at the GGA-PBE level of DFT.

a = 5.5420 Å, b = 5.5420 Å, c = 7.6756 Å
α = 90.00°, β = 90.00°, γ = 59.25°
Fractional coordinates of all 10 atoms:
Dy: 0.1543 0.1543 0.5981
Dy: 0.8457 0.8457 0.4019
Dy: 0.3457 0.3457 0.0981
Dy: 0.6543 0.6543 0.9019
Ir: 0.5000 0.5000 0.5000
Ir: 0.0000 0.0000 0.0000
Ir: 0.6419 0.1419 0.7500
Ir: 0.8581 0.3581 0.2500
Ir: 0.1419 0.6419 0.7500
Ir: 0.3581 0.8581 0.2500

## Properties
As for the crystal system: orthorhombic. The final energy comes out at -7.891 eV/atom.

***

Record 17
Computed, not measured: a geometry-optimized DyIr3 structure at the GGA-PBE level of DFT.

a = 4.0554 Å, b = 4.0554 Å, c = 4.0554 Å
α = 90.00°, β = 90.00°, γ = 90.00°
Fractional coordinates of all 4 atoms:
Dy: 0.0000 0.0000 0.0000
Ir: 0.0000 0.5000 0.5000
Ir: 0.5000 0.5000 0.0000
Ir: 0.5000 0.0000 0.5000

## Properties
As for the crystal system: cubic. The final energy comes out at -8.209 eV/atom.

***

Record 18
Computed, not measured: a geometry-optimized DyIr4 structure at the GGA-PBE level of DFT.

a = 4.8193 Å, b = 4.8193 Å, c = 4.8193 Å
α = 90.00°, β = 90.00°, γ = 90.00°
Site moments in Bohr magnetons follow the coordinates.
Fractional coordinates of all 5 atoms:
Ir: 0.0000 0.0000 0.0000  1.29
Ir: 0.5000 0.0000 0.5000  0.74
Ir: 0.0000 0.5000 0.5000  0.74
Ir: 0.5000 0.5000 0.0000  0.74
Dy: 0.5000 0.5000 0.5000  0.00

## Properties
As for the crystal system: cubic. The final energy comes out at -5.547 eV/atom.

***

Record 19
Computed, not measured: a geometry-optimized DyIr2 structure at the GGA-PBE level of DFT.

a = 5.3591 Å, b = 5.3591 Å, c = 5.3591 Å
α = 60.00°, β = 60.00°, γ = 60.00°
Fractional coordinates of all 6 atoms:
Ir: 0.1250 0.6250 0.1250
Ir: 0.1250 0.1250 0.6250
Ir: 0.6250 0.1250 0.1250
Ir: 0.1250 0.1250 0.1250
Dy: 0.7500 0.7500 0.7500
Dy: 0.5000 0.5000 0.5000

## Properties
As for the crystal system: cubic. The final energy comes out at -8.254 eV/atom.

***

Record 20
Computed, not measured: a geometry-optimized DyIr6 structure at the GGA-PBE level of DFT.

a = 5.8958 Å, b = 5.8958 Å, c = 5.8958 Å
α = 109.47°, β = 109.47°, γ = 109.47°
Fractional coordinates of all 7 atoms:
Dy: 0.0000 0.0000 0.0000
Ir: 0.2500 0.7500 0.5000
Ir: 0.5000 0.7500 0.2500
Ir: 0.2500 0.5000 0.7500
Ir: 0.7500 0.2500 0.5000
Ir: 0.5000 0.2500 0.7500
Ir: 0.7500 0.5000 0.2500

## Properties
As for the crystal system: cubic. The final energy comes out at -7.815 eV/atom.

***

Record 21
Computed, not measured: a geometry-optimized Dy5Ir4 structure at the GGA-PBE level of DFT.

a = 4.2883 Å, b = 5.6515 Å, c = 9.4466 Å
α = 76.27°, β = 76.88°, γ = 67.70°
Fractional coordinates of all 9 atoms:
Dy: 0.1096 0.1774 0.6034
Dy: 0.8904 0.8226 0.3966
Dy: 0.7550 0.6683 0.8217
Dy: 0.2450 0.3317 0.1783
Dy: 0.0000 0.0000 0.0000
Ir: 0.4488 0.2499 0.8526
Ir: 0.5512 0.7501 0.1474
Ir: 0.3828 0.6167 0.6176
Ir: 0.6172 0.3833 0.3824

## Properties
As for the crystal system: monoclinic. The final energy comes out at -7.262 eV/atom.

***

Record 22
Computed, not measured: a geometry-optimized K2DyIr3O12 structure at the GGA-PBE level of DFT.

a = 7.6113 Å, b = 7.6113 Å, c = 7.6113 Å
α = 57.28°, β = 57.28°, γ = 57.28°
Site moments in Bohr magnetons follow the coordinates.
Fractional coordinates of all 18 atoms:
K: 0.6036 0.6036 0.6036  0.00
K: 0.3964 0.3964 0.3964  0.00
Dy: 0.0000 0.0000 0.0000  0.06
Ir: 0.5000 0.0000 0.0000  0.66
Ir: 0.0000 0.5000 0.0000  0.66
Ir: 0.0000 0.0000 0.5000  0.66
O: 0.3130 0.3130 0.9132  0.02
O: 0.9259 0.9259 0.3550  0.29
O: 0.3550 0.9259 0.9259  0.29
O: 0.9132 0.3130 0.3130  0.02
O: 0.9259 0.3550 0.9259  0.29
O: 0.3130 0.9132 0.3130  0.02
O: 0.6870 0.6870 0.0868  0.02
O: 0.0741 0.0741 0.6450  0.29
O: 0.6450 0.0741 0.0741  0.29
O: 0.0868 0.6870 0.6870  0.02
O: 0.0741 0.6450 0.0741  0.29
O: 0.6870 0.0868 0.6870  0.02

## Properties
As for the uncorrected formation energy: -1176 meV/atom. As for the crystal system: trigonal.

***

Record 23
Computed, not measured: a geometry-optimized K3Dy2IrO6 structure at the GGA-PBE level of DFT.

a = 5.8186 Å, b = 5.8186 Å, c = 6.5068 Å
α = 98.52°, β = 98.52°, γ = 119.92°
Fractional coordinates of all 12 atoms:
K: 0.1613 0.8387 0.5000
K: 0.8387 0.1613 0.5000
K: 0.5000 0.5000 0.5000
Dy: 0.3329 0.6671 0.0000
Dy: 0.6671 0.3329 0.0000
Ir: 0.0000 0.0000 0.0000
O: 0.9374 0.6178 0.8122
O: 0.7418 0.7418 0.1866
O: 0.0626 0.3822 0.1878
O: 0.6178 0.9374 0.8122
O: 0.2582 0.2582 0.8134
O: 0.3822 0.0626 0.1878

## Properties
As for the uncorrected formation energy: -2087 meV/atom. As for the crystal system: monoclinic.

***

Record 24
Computed, not measured: a geometry-optimized K2DyIrO4 structure at the GGA-PBE level of DFT.

a = 3.4102 Å, b = 5.5197 Å, c = 6.5162 Å
α = 108.33°, β = 90.00°, γ = 90.00°
Fractional coordinates of all 8 atoms:
K: 0.5000 0.0000 0.5000
K: 0.0000 0.5000 0.5000
Dy: 0.5000 0.5000 0.0000
Ir: 0.0000 0.0000 0.0000
O: 0.5000 0.2015 0.1788
O: 0.5000 0.7985 0.8212
O: 0.0000 0.2584 0.8062
O: 0.0000 0.7416 0.1938

## Properties
As for the uncorrected formation energy: -1780 meV/atom. As for the crystal system: monoclinic.

***

no.,total magnetization (μB per cell)
1,0.00
2,0.14
3,0.59
4,0.00
5,0.00
6,2.62
7,0.64
8,0.00
9,0.00
10,0.00
11,0.00
12,0.00
13,0.00
14,0.00
15,0.00
16,0.00
17,0.00
18,3.45
19,0.00
20,0.00
21,0.00
22,4.45
23,0.00
24,0.00